BMoAu2 | PBE-GGA | optimized geometry

Cell lengths 4.3922, 4.3922, 4.3922 Å; angles 60.00, 60.00, 60.00 degrees
Closest atoms and distances in Å follow each position.
Sites, in units of the cell vectors:
B1 0.0000 0.0000 0.0000  4 Au 2.69, 4 Mo 2.69
Mo1 0.2500 0.2500 0.2500  4 Au 2.69, 4 B 2.69
Au1 0.5000 0.5000 0.5000  4 Au 2.69, 4 Mo 2.69
Au2 0.7500 0.7500 0.7500  4 B 2.69, 4 Au 2.69

DFT total energy   -5.100 eV/atom
Total moment   0.10 μB/atom
SG   No. 216

=====

BMoAu | PBE-GGA | optimized geometry

Cell lengths 4.1199, 4.1199, 4.1199 Å; angles 60.00, 60.00, 60.00 degrees
Closest atoms and distances in Å follow each position.
Sites, in units of the cell vectors:
B1 0.0000 0.0000 0.0000  4 Mo 2.52
Mo1 0.7500 0.7500 0.7500  4 B 2.52, 4 Au 2.52
Au1 0.5000 0.5000 0.5000  4 Mo 2.52

DFT total energy   -5.662 eV/atom
Total moment   0.32 μB/atom
SG   No. 216

=====

Among the records above, which one has the lowest DFT total energy? BMoAu